1.
Crystalline FeBr3 at its relaxed geometry, computed with PBE.

a b c (Å): 7.332 7.347 3.524
angles (deg): 90.00 90.00 90.00
Atoms (fractional coordinates):
Fe  0.000  0.000  0.000
Fe  0.500  0.500  0.000
Br  0.000  0.500  0.000
Br  0.250  0.250  0.500
Br  0.250  0.750  0.500
Br  0.500  0.000  0.000
Br  0.750  0.250  0.500
Br  0.750  0.750  0.500

Space group = Cmmm, No. 65
E_tot = -2.714 eV/atom
Formation energy without anion corrections = 656 meV/atom
Density of states at the Fermi level = 13.66 states/eV/cell

---

2.
Crystalline CdGe2P at its relaxed geometry, computed with PBE.

a b c (Å): 6.027 6.027 11.023
angles (deg): 90.00 90.00 90.00
Atoms (fractional coordinates):
Cd  0.000  0.000  0.000
Cd  0.000  0.500  0.250
Cd  0.500  0.000  0.750
Cd  0.500  0.500  0.500
Ge  0.215  0.250  0.625
Ge  0.250  0.715  0.875
Ge  0.250  0.785  0.375
Ge  0.285  0.250  0.125
Ge  0.715  0.750  0.125
Ge  0.750  0.215  0.375
Ge  0.750  0.285  0.875
Ge  0.785  0.750  0.625
P  0.000  0.000  0.500
P  0.000  0.500  0.750
P  0.500  0.000  0.250
P  0.500  0.500  0.000

Space group = I-42d, No. 122
E_tot = -3.727 eV/atom
Density of states at the Fermi level = 5.36 states/eV/cell
Relative energy among the computed polymorphs = 0 meV per atom
E_form = 0.1628 eV/atom

---

3.
Crystalline Tm8HgPd2 at its relaxed geometry, computed with PBE.

a b c (Å): 7.937 7.937 5.408
angles (deg): 98.79 98.79 115.23
Atoms (fractional coordinates):
Tm  0.084  0.333  0.589
Tm  0.234  0.766  0.000
Tm  0.333  0.084  0.589
Tm  0.385  0.385  0.190
Tm  0.615  0.615  0.810
Tm  0.667  0.916  0.411
Tm  0.766  0.234  0.000
Tm  0.916  0.667  0.411
Hg  0.000  0.000  0.000
Pd  0.303  0.697  0.500
Pd  0.697  0.303  0.500

Space group = C2/m, No. 12
E_tot = -4.550 eV/atom
Density of states at the Fermi level = 14.27 states/eV/cell
Relative energy among the computed polymorphs = 97 meV per atom
E_form = -0.3264 eV/atom

---

4.
Crystalline Sr2Sn4PtRh3 at its relaxed geometry, computed with PBE.

a b c (Å): 4.650 4.650 10.631
angles (deg): 90.00 90.00 90.00
Atoms (fractional coordinates):
Sr  0.000  0.500  0.243
Sr  0.500  0.000  0.757
Sn  0.000  0.000  0.500
Sn  0.000  0.500  0.874
Sn  0.500  0.000  0.126
Sn  0.500  0.500  0.500
Pt  0.500  0.500  0.000
Rh  0.000  0.000  0.000
Rh  0.000  0.500  0.626
Rh  0.500  0.000  0.374

Space group = P-4m2, No. 115
E_tot = -5.407 eV/atom
Density of states at the Fermi level = 5.88 states/eV/cell
E_form = -0.6603 eV/atom

---

5.
Crystalline Cd2IrW at its relaxed geometry, computed with PBE.

a b c (Å): 6.541 6.541 6.541
angles (deg): 90.00 90.00 90.00
Atoms (fractional coordinates):
Cd  0.250  0.250  0.250
Cd  0.250  0.250  0.750
Cd  0.250  0.750  0.250
Cd  0.250  0.750  0.750
Cd  0.750  0.250  0.250
Cd  0.750  0.250  0.750
Cd  0.750  0.750  0.250
Cd  0.750  0.750  0.750
Ir  0.000  0.000  0.000
Ir  0.000  0.500  0.500
Ir  0.500  0.000  0.500
Ir  0.500  0.500  0.000
W  0.000  0.000  0.500
W  0.000  0.500  0.000
W  0.500  0.000  0.000
W  0.500  0.500  0.500

Space group = Fm-3m, No. 225
E_tot = -5.088 eV/atom
Density of states at the Fermi level = 25.32 states/eV/cell
Relative energy among the computed polymorphs = 746 meV per atom
E_form = 0.8232 eV/atom

---

6.
Crystalline ScMnRe at its relaxed geometry, computed with PBE.

a b c (Å): 3.025 3.025 9.952
angles (deg): 90.00 90.00 90.00
Atoms (fractional coordinates):
Sc  0.000  0.000  0.000
Sc  0.500  0.500  0.500
Mn  0.000  0.000  0.324
Mn  0.500  0.500  0.824
Re  0.000  0.000  0.689
Re  0.500  0.500  0.189

Space group = I4mm, No. 107
E_tot = -9.358 eV/atom
Density of states at the Fermi level = 3.45 states/eV/cell
Relative energy among the computed polymorphs = 199 meV per atom
E_form = -0.0415 eV/atom

---

7.
Crystalline DyCuAg at its relaxed geometry, computed with PBE.

a b c (Å): 9.995 4.010 7.174
angles (deg): 90.00 123.34 90.00
Atoms (fractional coordinates):
Dy  0.057  0.000  0.302
Dy  0.443  0.500  0.698
Dy  0.557  0.500  0.302
Dy  0.943  0.000  0.698
Cu  0.139  0.500  0.662
Cu  0.361  0.000  0.338
Cu  0.639  0.000  0.662
Cu  0.861  0.500  0.338
Ag  0.175  0.500  0.084
Ag  0.325  0.000  0.916
Ag  0.675  0.000  0.084
Ag  0.825  0.500  0.916

Space group = C2/m, No. 12
E_tot = -4.130 eV/atom
Density of states at the Fermi level = 5.61 states/eV/cell
Relative energy among the computed polymorphs = 0 meV per atom
E_form = -0.2805 eV/atom

---

8.
Crystalline CsK2SiAg at its relaxed geometry, computed with PBE.

a b c (Å): 6.598 6.598 4.936
angles (deg): 90.00 90.00 90.00
Atoms (fractional coordinates):
Cs  0.000  0.000  0.000
K  0.000  0.500  0.500
K  0.500  0.000  0.500
Si  0.500  0.500  0.500
Ag  0.500  0.500  0.000

Space group = P4/mmm, No. 123
E_tot = -2.094 eV/atom
Formation energy without anion corrections = 171 meV/atom
Density of states at the Fermi level = 2.73 states/eV/cell

---

9.
Crystalline YFeGeH2 at its relaxed geometry, computed with PBE.

a b c (Å): 3.859 3.859 5.287
angles (deg): 90.00 90.00 90.00
Atoms (fractional coordinates):
Y  0.000  0.000  0.000
Fe  0.000  0.000  0.500
Ge  0.500  0.500  0.000
H  0.000  0.500  0.500
H  0.500  0.000  0.500

Space group = P4/mmm, No. 123
E_tot = -4.671 eV/atom
Density of states at the Fermi level = 3.64 states/eV/cell

---

10.
Crystalline LaNdDy2 at its relaxed geometry, computed with PBE.

a b c (Å): 3.645 3.645 35.213
angles (deg): 90.00 90.00 120.00
Atoms (fractional coordinates):
La  0.000  0.000  0.000
La  0.333  0.667  0.667
La  0.667  0.333  0.333
Nd  0.000  0.000  0.834
Nd  0.333  0.667  0.501
Nd  0.667  0.333  0.167
Dy  0.000  0.000  0.417
Dy  0.000  0.000  0.583
Dy  0.333  0.667  0.083
Dy  0.333  0.667  0.250
Dy  0.667  0.333  0.750
Dy  0.667  0.333  0.916

Space group = R3m, No. 160
E_tot = -4.707 eV/atom
Density of states at the Fermi level = 18.16 states/eV/cell
Relative energy among the computed polymorphs = 6 meV per atom
E_form = 0.0181 eV/atom

---

11.
Crystalline CaCu5Si2 at its relaxed geometry, computed with PBE.

a b c (Å): 3.841 6.794 9.241
angles (deg): 90.00 90.00 90.00
Atoms (fractional coordinates):
Ca  0.000  0.000  0.000
Ca  0.500  0.500  0.500
Cu  0.000  0.183  0.351
Cu  0.000  0.183  0.649
Cu  0.000  0.500  0.000
Cu  0.000  0.817  0.351
Cu  0.000  0.817  0.649
Cu  0.500  0.000  0.500
Cu  0.500  0.317  0.149
Cu  0.500  0.317  0.851
Cu  0.500  0.683  0.149
Cu  0.500  0.683  0.851
Si  0.000  0.500  0.250
Si  0.000  0.500  0.750
Si  0.500  0.000  0.250
Si  0.500  0.000  0.750

Space group = Immm, No. 71
E_tot = -4.373 eV/atom
Formation energy without anion corrections = -207 meV/atom
Density of states at the Fermi level = 5.70 states/eV/cell

---

12.
Crystalline Rb4Br3O4 at its relaxed geometry, computed with PBE.

a b c (Å): 9.733 9.733 9.733
angles (deg): 149.70 128.93 60.55
Atoms (fractional coordinates):
Rb  0.230  0.230  0.000
Rb  0.271  0.500  0.771
Rb  0.729  0.500  0.229
Rb  0.770  0.770  0.000
Br  0.000  0.000  0.000
Br  0.374  0.874  0.500
Br  0.626  0.126  0.500
O  0.079  0.656  0.423
O  0.233  0.656  0.577
O  0.767  0.344  0.423
O  0.921  0.344  0.577

Space group = Immm, No. 71
E_tot = -3.727 eV/atom
Formation energy without anion corrections = -1116 meV/atom
Density of states at the Fermi level = 6.41 states/eV/cell